# InGe3Ir | Alexandria | PBEsol | optimized geometry
data_InGe3Ir
_cell_length_a 4.808
_cell_length_b 4.808
_cell_length_c 4.808
_cell_angle_alpha 90.00
_cell_angle_beta 90.00
_cell_angle_gamma 90.00
_space_group_name_H-M_alt 'P 1'
_space_group_IT_number 1
loop_
_space_group_symop_operation_xyz
'x,y,z'
loop_
_atom_site_label
_atom_site_fract_x
_atom_site_fract_y
_atom_site_fract_z
In1 0.000 0.000 0.000
Ge1 0.000 0.500 0.500
Ge2 0.500 0.000 0.500
Ge3 0.500 0.500 0.000
Ir1 0.500 0.500 0.500
# Energy relative to the elements ... 6.055 kcal/mol of atoms

***

# LaMoI2N | Alexandria | PBEsol | optimized geometry
data_LaMoI2N
_cell_length_a 5.564
_cell_length_b 5.564
_cell_length_c 3.849
_cell_angle_alpha 90.00
_cell_angle_beta 90.00
_cell_angle_gamma 90.00
_space_group_name_H-M_alt 'P 1'
_space_group_IT_number 1
loop_
_space_group_symop_operation_xyz
'x,y,z'
loop_
_atom_site_label
_atom_site_fract_x
_atom_site_fract_y
_atom_site_fract_z
La1 0.000 0.000 0.000
Mo1 0.500 0.500 0.500
I1 0.000 0.500 0.500
I2 0.500 0.000 0.500
N1 0.500 0.500 0.000
# Uncorrected formation energy ... -0.2481 eV per atom

***

# YP2Au | Alexandria | PBEsol | optimized geometry
data_YP2Au
_cell_length_a 9.319
_cell_length_b 9.319
_cell_length_c 9.319
_cell_angle_alpha 153.54
_cell_angle_beta 153.54
_cell_angle_gamma 37.77
_space_group_name_H-M_alt 'P 1'
_space_group_IT_number 1
loop_
_space_group_symop_operation_xyz
'x,y,z'
loop_
_atom_site_label
_atom_site_fract_x
_atom_site_fract_y
_atom_site_fract_z
Y1 0.000 0.000 0.000
Y2 0.750 0.250 0.500
P1 0.251 0.625 0.126
P2 0.375 0.501 0.626
P3 0.499 0.125 0.874
P4 0.875 0.749 0.374
Au1 0.250 0.750 0.500
Au2 0.500 0.500 0.000
# Energy relative to the elements ... -9.602 kcal/mol of atoms

***

# ZnSbS2Cl | Alexandria | PBEsol | optimized geometry
data_ZnSbS2Cl
_cell_length_a 4.992
_cell_length_b 4.992
_cell_length_c 5.055
_cell_angle_alpha 90.00
_cell_angle_beta 90.00
_cell_angle_gamma 90.00
_space_group_name_H-M_alt 'P 1'
_space_group_IT_number 1
loop_
_space_group_symop_operation_xyz
'x,y,z'
loop_
_atom_site_label
_atom_site_fract_x
_atom_site_fract_y
_atom_site_fract_z
Zn1 0.000 0.000 0.000
Sb1 0.500 0.500 0.500
S1 0.000 0.500 0.500
S2 0.500 0.000 0.500
Cl1 0.500 0.500 0.000
# Uncorrected formation energy ... 0.2392 eV per atom

***

# CsBBr2 | Alexandria | PBEsol | optimized geometry
data_CsBBr2
_cell_length_a 5.496
_cell_length_b 5.496
_cell_length_c 5.496
_cell_angle_alpha 60.00
_cell_angle_beta 60.00
_cell_angle_gamma 60.00
_space_group_name_H-M_alt 'P 1'
_space_group_IT_number 1
loop_
_space_group_symop_operation_xyz
'x,y,z'
loop_
_atom_site_label
_atom_site_fract_x
_atom_site_fract_y
_atom_site_fract_z
Cs1 0.000 0.000 0.000
B1 0.500 0.500 0.500
Br1 0.250 0.250 0.250
Br2 0.750 0.750 0.750
# Uncorrected formation energy ... 0.2622 eV per atom

***

# PtRh2W | Alexandria | PBEsol | optimized geometry
data_PtRh2W
_cell_length_a 4.685
_cell_length_b 4.685
_cell_length_c 4.685
_cell_angle_alpha 131.16
_cell_angle_beta 131.16
_cell_angle_gamma 71.56
_space_group_name_H-M_alt 'P 1'
_space_group_IT_number 1
loop_
_space_group_symop_operation_xyz
'x,y,z'
loop_
_atom_site_label
_atom_site_fract_x
_atom_site_fract_y
_atom_site_fract_z
Pt1 0.000 0.000 0.000
Rh1 0.250 0.750 0.500
Rh2 0.750 0.250 0.500
W1 0.500 0.500 0.000
# Energy relative to the elements ... -5.922 kcal/mol of atoms

***

# BaLu2CoO5 | Alexandria | PBEsol | optimized geometry
data_BaLu2CoO5
_cell_length_a 11.833
_cell_length_b 5.489
_cell_length_c 6.872
_cell_angle_alpha 90.00
_cell_angle_beta 90.00
_cell_angle_gamma 90.00
_space_group_name_H-M_alt 'P 1'
_space_group_IT_number 1
loop_
_space_group_symop_operation_xyz
'x,y,z'
loop_
_atom_site_label
_atom_site_fract_x
_atom_site_fract_y
_atom_site_fract_z
Ba1 0.095 0.250 0.073
Ba2 0.405 0.750 0.573
Ba3 0.595 0.250 0.427
Ba4 0.905 0.750 0.927
Lu1 0.075 0.750 0.399
Lu2 0.210 0.250 0.619
Lu3 0.290 0.750 0.119
Lu4 0.425 0.250 0.899
Lu5 0.575 0.750 0.101
Lu6 0.710 0.250 0.881
Lu7 0.790 0.750 0.381
Lu8 0.925 0.250 0.601
Co1 0.162 0.750 0.787
Co2 0.338 0.250 0.287
Co3 0.662 0.750 0.713
Co4 0.838 0.250 0.213
O1 0.065 0.508 0.669
O2 0.065 0.992 0.669
O3 0.106 0.750 0.081
O4 0.228 0.004 0.362
O5 0.228 0.496 0.362
O6 0.272 0.504 0.862
O7 0.272 0.996 0.862
O8 0.394 0.250 0.581
O9 0.435 0.008 0.169
O10 0.435 0.492 0.169
O11 0.565 0.508 0.831
O12 0.565 0.992 0.831
O13 0.606 0.750 0.419
O14 0.728 0.004 0.138
O15 0.728 0.496 0.138
O16 0.772 0.504 0.638
O17 0.772 0.996 0.638
O18 0.894 0.250 0.919
O19 0.935 0.008 0.331
O20 0.935 0.492 0.331
# Uncorrected formation energy ... -2.8391 eV per atom

***

# Na2CaAu2 | Alexandria | PBEsol | optimized geometry
data_Na2CaAu2
_cell_length_a 7.561
_cell_length_b 7.561
_cell_length_c 7.561
_cell_angle_alpha 148.31
_cell_angle_beta 148.31
_cell_angle_gamma 45.42
_space_group_name_H-M_alt 'P 1'
_space_group_IT_number 1
loop_
_space_group_symop_operation_xyz
'x,y,z'
loop_
_atom_site_label
_atom_site_fract_x
_atom_site_fract_y
_atom_site_fract_z
Na1 0.250 0.750 0.500
Na2 0.750 0.250 0.500
Ca1 0.000 0.000 0.000
Au1 0.404 0.404 0.000
Au2 0.596 0.596 0.000
# Energy relative to the elements ... -8.052 kcal/mol of atoms

***

# LiCu3O3 | Alexandria | PBEsol | optimized geometry
data_LiCu3O3
_cell_length_a 3.989
_cell_length_b 3.989
_cell_length_c 3.989
_cell_angle_alpha 90.00
_cell_angle_beta 90.00
_cell_angle_gamma 90.00
_space_group_name_H-M_alt 'P 1'
_space_group_IT_number 1
loop_
_space_group_symop_operation_xyz
'x,y,z'
loop_
_atom_site_label
_atom_site_fract_x
_atom_site_fract_y
_atom_site_fract_z
Li1 0.000 0.000 0.000
Cu1 0.000 0.500 0.500
Cu2 0.500 0.000 0.500
Cu3 0.500 0.500 0.000
O1 0.000 0.000 0.500
O2 0.000 0.500 0.000
O3 0.500 0.000 0.000
# Uncorrected formation energy ... -0.8214 eV per atom

***

# Al22PbO34 | Alexandria | PBEsol | optimized geometry
data_Al22PbO34
_cell_length_a 9.715
_cell_length_b 11.231
_cell_length_c 11.784
_cell_angle_alpha 90.00
_cell_angle_beta 105.52
_cell_angle_gamma 90.00
_space_group_name_H-M_alt 'P 1'
_space_group_IT_number 1
loop_
_space_group_symop_operation_xyz
'x,y,z'
loop_
_atom_site_label
_atom_site_fract_x
_atom_site_fract_y
_atom_site_fract_z
Al1 0.000 0.000 0.000
Al2 0.000 0.500 0.000
Al3 0.051 0.250 0.648
Al4 0.057 0.750 0.648
Al5 0.098 0.000 0.784
Al6 0.098 0.500 0.784
Al7 0.149 0.750 0.946
Al8 0.151 0.624 0.205
Al9 0.151 0.876 0.205
Al10 0.152 0.127 0.217
Al11 0.152 0.250 0.951
Al12 0.152 0.373 0.217
Al13 0.345 0.125 0.785
Al14 0.345 0.375 0.785
Al15 0.348 0.624 0.789
Al16 0.348 0.876 0.789
Al17 0.350 0.001 0.050
Al18 0.350 0.499 0.050
Al19 0.400 0.250 0.212
Al20 0.402 0.750 0.210
Al21 0.448 0.001 0.350
Al22 0.448 0.499 0.350
Al23 0.500 0.250 0.999
Al24 0.500 0.750 0.001
Al25 0.552 0.501 0.650
Al26 0.552 0.999 0.650
Al27 0.598 0.250 0.790
Al28 0.600 0.750 0.788
Al29 0.650 0.501 0.950
Al30 0.650 0.999 0.950
Al31 0.652 0.124 0.211
Al32 0.652 0.376 0.211
Al33 0.655 0.625 0.215
Al34 0.655 0.875 0.215
Al35 0.848 0.627 0.783
Al36 0.848 0.750 0.049
Al37 0.848 0.873 0.783
Al38 0.849 0.124 0.795
Al39 0.849 0.376 0.795
Al40 0.851 0.250 0.054
Al41 0.902 0.000 0.216
Al42 0.902 0.500 0.216
Al43 0.943 0.250 0.352
Al44 0.949 0.750 0.352
Pb1 0.294 0.750 0.470
Pb2 0.706 0.250 0.530
O1 0.045 0.119 0.901
O2 0.045 0.381 0.901
O3 0.045 0.617 0.900
O4 0.045 0.883 0.900
O5 0.048 0.750 0.498
O6 0.093 0.502 0.282
O7 0.093 0.998 0.282
O8 0.094 0.250 0.294
O9 0.100 0.750 0.288
O10 0.155 0.125 0.710
O11 0.155 0.375 0.710
O12 0.159 0.624 0.713
O13 0.159 0.876 0.713
O14 0.189 0.502 0.099
O15 0.189 0.998 0.099
O16 0.201 0.250 0.111
O17 0.203 0.750 0.109
O18 0.297 0.001 0.890
O19 0.297 0.499 0.890
O20 0.311 0.250 0.901
O21 0.312 0.750 0.901
O22 0.341 0.630 0.294
O23 0.341 0.870 0.294
O24 0.343 0.125 0.287
O25 0.343 0.375 0.287
O26 0.407 0.000 0.714
O27 0.407 0.500 0.714
O28 0.408 0.750 0.716
O29 0.410 0.250 0.718
O30 0.452 0.633 0.100
O31 0.452 0.867 0.100
O32 0.454 0.133 0.098
O33 0.454 0.367 0.098
O34 0.500 0.000 0.500
O35 0.500 0.500 0.500
O36 0.546 0.633 0.902
O37 0.546 0.867 0.902
O38 0.548 0.133 0.900
O39 0.548 0.367 0.900
O40 0.590 0.750 0.282
O41 0.592 0.250 0.284
O42 0.593 0.000 0.286
O43 0.593 0.500 0.286
O44 0.657 0.625 0.713
O45 0.657 0.875 0.713
O46 0.659 0.130 0.706
O47 0.659 0.370 0.706
O48 0.688 0.250 0.099
O49 0.689 0.750 0.099
O50 0.703 0.501 0.110
O51 0.703 0.999 0.110
O52 0.797 0.250 0.891
O53 0.799 0.750 0.889
O54 0.811 0.002 0.901
O55 0.811 0.498 0.901
O56 0.841 0.124 0.287
O57 0.841 0.376 0.287
O58 0.845 0.625 0.290
O59 0.845 0.875 0.290
O60 0.900 0.250 0.712
O61 0.906 0.750 0.706
O62 0.907 0.002 0.718
O63 0.907 0.498 0.718
O64 0.952 0.250 0.502
O65 0.955 0.117 0.100
O66 0.955 0.383 0.100
O67 0.955 0.619 0.099
O68 0.955 0.881 0.099
# Uncorrected formation energy ... -2.9697 eV per atom

***

# CrCoAu3 | Alexandria | PBEsol | optimized geometry
data_CrCoAu3
_cell_length_a 4.648
_cell_length_b 4.648
_cell_length_c 4.648
_cell_angle_alpha 90.00
_cell_angle_beta 90.00
_cell_angle_gamma 90.00
_space_group_name_H-M_alt 'P 1'
_space_group_IT_number 1
loop_
_space_group_symop_operation_xyz
'x,y,z'
loop_
_atom_site_label
_atom_site_fract_x
_atom_site_fract_y
_atom_site_fract_z
Cr1 0.000 0.000 0.000
Co1 0.500 0.500 0.500
Au1 0.000 0.500 0.500
Au2 0.500 0.000 0.500
Au3 0.500 0.500 0.000
# Energy relative to the elements ... 23.682 kcal/mol of atoms

***

# Nb2Rh2S | Alexandria | PBEsol | optimized geometry
data_Nb2Rh2S
_cell_length_a 4.288
_cell_length_b 4.288
_cell_length_c 4.522
_cell_angle_alpha 90.00
_cell_angle_beta 90.00
_cell_angle_gamma 90.00
_space_group_name_H-M_alt 'P 1'
_space_group_IT_number 1
loop_
_space_group_symop_operation_xyz
'x,y,z'
loop_
_atom_site_label
_atom_site_fract_x
_atom_site_fract_y
_atom_site_fract_z
Nb1 0.000 0.000 0.000
Nb2 0.500 0.500 0.000
Rh1 0.000 0.500 0.500
Rh2 0.500 0.000 0.500
S1 0.000 0.000 0.500
# Uncorrected formation energy ... 0.0936 eV per atom

***

Across the entries above, DOS(E_F) takes the values 2.45 4.40 2.18 2.61 0.00 3.67 1.49 2.07 2.61 0.00 5.50 4.83 states/eV/f.u., respectively.